Record 1
The following is a PBE calculation of Ca3Ni after structural relaxation, from Alexandria via LeMat-Bulk. Values from VASP.

DFT formation energy ... 0.02 eV per atom

Structure (Quantum ESPRESSO input):
```
&SYSTEM
  ibrav = 0, nat = 8, ntyp = 2
/
ATOMIC_SPECIES
Ca 40.08 Ca.upf
Ni 58.69 Ni.upf
ATOMIC_POSITIONS angstrom
Ca 0.952 0.065 1.682
Ca 0.952 1.747 5.085
Ca 0.952 3.429 1.682
Ca 2.857 3.559 7.958
Ca 2.857 5.241 4.556
Ca 2.857 6.922 7.958
Ni 0.952 5.241 6.637
Ni 2.857 1.747 3.004
CELL_PARAMETERS angstrom
3.810 0.000 0.000
0.000 6.987 0.000
0.000 0.000 9.640
```

Record 2
The following is a PBE calculation of MnAlIr3 after structural relaxation, from Alexandria via LeMat-Bulk. Values from VASP.

DFT formation energy ... 1.13 eV per atom

Structure (Quantum ESPRESSO input):
```
&SYSTEM
  ibrav = 0, nat = 5, ntyp = 3
/
ATOMIC_SPECIES
Mn 54.94 Mn.upf
Al 26.98 Al.upf
Ir 192.22 Ir.upf
ATOMIC_POSITIONS angstrom
Mn 0.000 0.000 0.000
Al 2.227 2.227 2.227
Ir 0.000 0.000 2.227
Ir 0.000 2.227 0.000
Ir 2.227 0.000 0.000
CELL_PARAMETERS angstrom
4.454 0.000 0.000
0.000 4.454 0.000
0.000 0.000 4.454
```

Record 3
The following is a PBE calculation of Y2ReN3 after structural relaxation, from Alexandria via LeMat-Bulk. Values from VASP.

Uncorrected formation energy ... -1107 meV/atom

Structure (Quantum ESPRESSO input):
```
&SYSTEM
  ibrav = 0, nat = 12, ntyp = 3
/
ATOMIC_SPECIES
Y 88.91 Y.upf
Re 186.21 Re.upf
N 14.01 N.upf
ATOMIC_POSITIONS angstrom
Y 0.000 0.000 1.910
Y 0.000 0.000 10.711
Y 1.668 1.928 4.401
Y 1.668 1.928 8.220
Re 0.000 0.000 6.311
Re 1.668 1.928 0.000
N 0.000 0.000 4.249
N 0.000 0.000 8.372
N 0.000 1.928 6.311
N 1.668 0.000 0.000
N 1.668 1.928 2.061
N 1.668 1.928 10.560
CELL_PARAMETERS angstrom
3.336 0.000 0.000
0.000 3.855 0.000
0.000 0.000 12.621
```